Compound: KPm3Os
Source: Alexandria via LeMat-Bulk
Functional: PBE
Structure: relaxed

Cell: 5.680 5.680 5.680 Å, 90.00 90.00 90.00°
Atoms (fractional coordinates):
K  0.000  0.000  0.000
Pm  0.000  0.500  0.500
Pm  0.500  0.000  0.500
Pm  0.500  0.500  0.000
Os  0.500  0.500  0.500

**Density**: 6.0 g/cm³
**Formation energy**: 0.1399 eV per atom
**Volume**: 36.65 A^3/atom
**M_tot**: 0.000 μB per atom
**Symmetry**: Pm-3m, No. 221
**DOS at the Fermi energy**: 0.7290 states/eV/atom

---

Compound: Sm5Au2
Source: Alexandria via LeMat-Bulk
Functional: PBE
Structure: relaxed

Cell: 9.226 9.226 7.106 Å, 95.03 95.03 44.33°
Atoms (fractional coordinates):
Sm  0.051  0.949  0.750
Sm  0.161  0.285  0.293
Sm  0.285  0.161  0.793
Sm  0.289  0.525  0.050
Sm  0.475  0.711  0.450
Sm  0.525  0.289  0.550
Sm  0.711  0.475  0.950
Sm  0.715  0.839  0.207
Sm  0.839  0.715  0.707
Sm  0.949  0.051  0.250
Au  0.098  0.678  0.440
Au  0.322  0.902  0.060
Au  0.678  0.098  0.940
Au  0.902  0.322  0.560

**Density**: 9.0 g/cm³
**Formation energy**: -0.4599 eV per atom
**Volume**: 30.05 A^3/atom
**M_tot**: 0.000 μB per atom
**Symmetry**: C2/c, No. 15
**DOS at the Fermi energy**: 1.0373 states/eV/atom

---

Compound: Ho2CuBr
Source: Alexandria via LeMat-Bulk
Functional: PBE
Structure: relaxed

Cell: 7.964 7.964 7.964 Å, 28.47 28.47 28.47°
Atoms (fractional coordinates):
Ho  0.000  0.000  0.000
Ho  0.197  0.197  0.197
Cu  0.598  0.598  0.598
Br  0.767  0.767  0.767

**Density**: 7.7 g/cm³
**Excess energy over the best structure of this formula in the dataset**: 0.024 eV per atom
**Volume**: 25.37 A^3/atom
**M_tot**: 0.000 μB per atom
**Symmetry**: R3m, No. 160
**DOS at the Fermi energy**: 0.8405 states/eV/atom
**Uncorrected formation energy**: -57 kJ/mol of atoms

---

Question: Among the records above, which one has the lowest volume?
Answer: Ho2CuBr

---

Question: What is the volume in the first record?
Answer: 36.65 A^3/atom